Entry A
PuUNiPd | PBE | optimized geometry

Cell lengths 4.619, 4.619, 4.619 Å; angles 60.00, 60.00, 60.00 degrees
Element x y z (fractional)
1 Pu 0.000 0.000 0.000
2 U 0.250 0.250 0.250
3 Ni 0.750 0.750 0.750
4 Pd 0.500 0.500 0.500

Output
The space-group type is F-43m.

=====

Entry B
PuUNiPd | PBE | optimized geometry

Cell lengths 4.608, 4.608, 4.608 Å; angles 60.00, 60.00, 60.00 degrees
Element x y z (fractional)
1 Pu 0.000 0.000 0.000
2 U 0.750 0.750 0.750
3 Ni 0.500 0.500 0.500
4 Pd 0.250 0.250 0.250

Output
The space-group type is F-43m.

=====

Short version: entry A is the least stable of them.

=====

Entry A
RbNi2Pd2 | PBE | optimized geometry

Cell lengths 5.935, 5.935, 5.935 Å; angles 137.00, 137.00, 62.44 degrees
Element x y z (fractional)
1 Rb 0.000 0.000 0.000
2 Ni 0.382 0.382 0.000
3 Ni 0.618 0.618 0.000
4 Pd 0.250 0.750 0.500
5 Pd 0.750 0.250 0.500

Output
The space-group type is I4/mmm.

=====

Entry B
RbNi2Pd2 | PBE | optimized geometry

Cell lengths 7.908, 7.908, 2.770 Å; angles 90.00, 90.00, 90.00 degrees
Element x y z (fractional)
1 Rb 0.000 0.000 0.000
2 Rb 0.500 0.500 0.000
3 Ni 0.112 0.388 0.000
4 Ni 0.388 0.888 0.000
5 Ni 0.612 0.112 0.000
6 Ni 0.888 0.612 0.000
7 Pd 0.174 0.674 0.500
8 Pd 0.326 0.174 0.500
9 Pd 0.674 0.826 0.500
10 Pd 0.826 0.326 0.500

Output
The space-group type is P4/mbm.

=====

Short version: entry A is the least stable of them.

=====

Entry A
RbNiPd3 | PBE | optimized geometry

Cell lengths 5.113, 5.113, 5.113 Å; angles 90.00, 90.00, 90.00 degrees
Element x y z (fractional)
1 Rb 0.000 0.000 0.000
2 Ni 0.500 0.500 0.500
3 Pd 0.000 0.000 0.500
4 Pd 0.000 0.500 0.000
5 Pd 0.500 0.000 0.000

Output
The space-group type is Pm-3m.

=====

Entry B
RbNiPd3 | PBE | optimized geometry

Cell lengths 4.792, 4.792, 4.792 Å; angles 90.00, 90.00, 90.00 degrees
Element x y z (fractional)
1 Rb 0.000 0.000 0.000
2 Ni 0.500 0.500 0.500
3 Pd 0.000 0.500 0.500
4 Pd 0.500 0.000 0.500
5 Pd 0.500 0.500 0.000

Output
The space-group type is Pm-3m.

=====

Short version: entry A is the least stable of them.

=====

Entry A
ReNiPd2 | PBE | optimized geometry

Cell lengths 4.328, 4.328, 4.328 Å; angles 60.00, 60.00, 60.00 degrees
Element x y z (fractional)
1 Re 0.000 0.000 0.000
2 Ni 0.500 0.500 0.500
3 Pd 0.250 0.250 0.250
4 Pd 0.750 0.750 0.750

Output
The space-group type is Fm-3m.

=====

Entry B
ReNiPd2 | PBE | optimized geometry

Cell lengths 5.519, 5.519, 5.519 Å; angles 102.99, 102.99, 123.40 degrees
Element x y z (fractional)
1 Re 0.000 0.000 0.000
2 Re 0.750 0.250 0.500
3 Ni 0.250 0.750 0.500
4 Ni 0.500 0.500 0.000
5 Pd 0.131 0.625 0.006
6 Pd 0.375 0.381 0.506
7 Pd 0.619 0.125 0.994
8 Pd 0.875 0.869 0.494

Output
The space-group type is I-42d.

=====

Short version: entry B is the least stable of them.

=====

Entry A
ReNi4Pd | PBE | optimized geometry

Cell lengths 4.680, 4.680, 4.680 Å; angles 60.00, 60.00, 60.00 degrees
Element x y z (fractional)
1 Re 0.000 0.000 0.000
2 Ni 0.375 0.375 0.375
3 Ni 0.375 0.375 0.876
4 Ni 0.375 0.876 0.375
5 Ni 0.876 0.375 0.375
6 Pd 0.750 0.750 0.750

Output
The space-group type is F-43m.

=====

Entry B
ReNi4Pd | PBE | optimized geometry

Cell lengths 4.458, 4.458, 7.266 Å; angles 113.78, 113.78, 34.41 degrees
Element x y z (fractional)
1 Re 0.000 0.000 0.000
2 Ni 0.329 0.329 0.159
3 Ni 0.335 0.335 0.676
4 Ni 0.665 0.665 0.324
5 Ni 0.671 0.671 0.841
6 Pd 0.000 0.000 0.500

Output
The space-group type is C2/m.

=====

Short version: entry A is the least stable of them.

=====

Entry A
NiPd4Rh | PBE | optimized geometry

Cell lengths 7.245, 7.245, 4.768 Å; angles 109.14, 109.14, 21.89 degrees
Element x y z (fractional)
1 Ni 0.000 0.000 0.000
2 Pd 0.164 0.164 0.832
3 Pd 0.338 0.338 0.674
4 Pd 0.662 0.662 0.326
5 Pd 0.836 0.836 0.168
6 Rh 0.500 0.500 0.500

Output
The space-group type is C2/m.

=====

Entry B
NiPd4Rh | PBE | optimized geometry

Cell lengths 6.684, 6.684, 4.842 Å; angles 100.70, 100.70, 116.54 degrees
Element x y z (fractional)
1 Ni 0.001 0.999 0.750
2 Ni 0.999 0.001 0.250
3 Pd 0.081 0.705 0.444
4 Pd 0.186 0.402 0.139
5 Pd 0.295 0.919 0.056
6 Pd 0.402 0.186 0.639
7 Pd 0.598 0.814 0.361
8 Pd 0.705 0.081 0.944
9 Pd 0.814 0.598 0.861
10 Pd 0.919 0.295 0.556
11 Rh 0.402 0.598 0.750
12 Rh 0.598 0.402 0.250

Output
The space-group type is C2/c.

=====

Short version: entry B is the least stable of them.

=====

Entry A
Ni2PdRh2 | PBE | optimized geometry

Cell lengths 7.175, 7.175, 2.697 Å; angles 90.00, 90.00, 90.00 degrees
Element x y z (fractional)
1 Ni 0.168 0.332 0.000
2 Ni 0.332 0.832 0.000
3 Ni 0.668 0.168 0.000
4 Ni 0.832 0.668 0.000
5 Pd 0.000 0.000 0.500
6 Pd 0.500 0.500 0.500
7 Rh 0.130 0.630 0.500
8 Rh 0.370 0.130 0.500
9 Rh 0.630 0.870 0.500
10 Rh 0.870 0.370 0.500

Output
The space-group type is P4/mbm.

=====

Entry B
Ni2PdRh2 | PBE | optimized geometry

Cell lengths 4.616, 4.616, 8.480 Å; angles 99.29, 99.29, 49.94 degrees
Element x y z (fractional)
1 Ni 0.075 0.075 0.143
2 Ni 0.215 0.215 0.424
3 Ni 0.785 0.785 0.576
4 Ni 0.925 0.925 0.857
5 Pd 0.198 0.198 0.743
6 Pd 0.802 0.802 0.257
7 Rh 0.361 0.361 0.049
8 Rh 0.482 0.482 0.647
9 Rh 0.518 0.518 0.353
10 Rh 0.639 0.639 0.951

Output
The space-group type is C2/m.

=====

Short version: entry A is the least stable of them.

=====

Entry A
Ni2Pd8Rh | PBE | optimized geometry

Cell lengths 6.582, 6.582, 4.032 Å; angles 90.00, 90.00, 105.55 degrees
Element x y z (fractional)
1 Ni 0.112 0.888 0.000
2 Ni 0.888 0.112 0.000
3 Pd 0.166 0.166 0.500
4 Pd 0.191 0.458 0.000
5 Pd 0.246 0.754 0.500
6 Pd 0.458 0.191 0.000
7 Pd 0.542 0.809 0.000
8 Pd 0.754 0.246 0.500
9 Pd 0.809 0.542 0.000
10 Pd 0.834 0.834 0.500
11 Rh 0.500 0.500 0.500

Output
The space-group type is Cmmm.

=====

Entry B
Ni2Pd8Rh | PBE | optimized geometry

Cell lengths 6.792, 6.792, 4.532 Å; angles 101.01, 101.01, 62.62 degrees
Element x y z (fractional)
1 Ni 0.112 0.112 0.038
2 Ni 0.888 0.888 0.962
3 Pd 0.223 0.223 0.597
4 Pd 0.237 0.622 0.718
5 Pd 0.350 0.350 0.172
6 Pd 0.378 0.763 0.282
7 Pd 0.622 0.237 0.718
8 Pd 0.650 0.650 0.828
9 Pd 0.763 0.378 0.282
10 Pd 0.777 0.777 0.403
11 Rh 0.000 0.000 0.500

Output
The space-group type is C2/m.

=====

Short version: entry B is the least stable of them.

=====

Entry A
NiPdRh | PBE | optimized geometry

Cell lengths 2.708, 2.708, 6.511 Å; angles 90.00, 90.00, 120.00 degrees
Element x y z (fractional)
1 Ni 0.000 0.000 0.000
2 Pd 0.667 0.333 0.328
3 Rh 0.333 0.667 0.687

Output
The space-group type is P3m1.

=====

Entry B
NiPdRh | PBE | optimized geometry

Cell lengths 4.660, 4.660, 7.475 Å; angles 113.66, 113.66, 33.87 degrees
Element x y z (fractional)
1 Ni 0.000 0.000 0.000
2 Ni 0.656 0.656 0.839
3 Pd 0.329 0.329 0.156
4 Pd 0.661 0.661 0.338
5 Rh 0.332 0.332 0.693
6 Rh 0.998 0.998 0.523

Output
The space-group type is Cm.

=====

Entry C
NiPdRh | PBE | optimized geometry

Cell lengths 7.260, 7.260, 7.260 Å; angles 118.95, 85.05, 127.02 degrees
Element x y z (fractional)
1 Ni 0.172 0.010 0.182
2 Ni 0.172 0.490 0.662
3 Ni 0.415 0.728 0.187
4 Ni 0.542 0.228 0.813
5 Ni 0.828 0.510 0.338
6 Ni 0.828 0.990 0.818
7 Pd 0.047 0.310 0.237
8 Pd 0.072 0.810 0.763
9 Pd 0.515 0.998 0.017
10 Pd 0.518 0.454 0.564
11 Pd 0.890 0.954 0.436
12 Pd 0.982 0.498 0.983
13 Rh 0.245 0.300 0.823
14 Rh 0.245 0.922 0.445
15 Rh 0.477 0.422 0.177
16 Rh 0.477 0.800 0.555
17 Rh 0.735 0.235 0.500
18 Rh 0.735 0.735 0.000

Output
The space-group type is Ima2.

=====

Short version: entry C is the least stable of them.

=====

Entry A
NiPdRh | PBE | optimized geometry

Cell lengths 5.907, 5.907, 5.907 Å; angles 153.40, 153.40, 37.97 degrees
Element x y z (fractional)
1 Ni 0.000 0.000 0.000
2 Pd 0.665 0.665 0.000
3 Rh 0.347 0.347 0.000

Output
The space-group type is I4mm.

=====

Entry B
NiPdRh | PBE | optimized geometry

Cell lengths 4.634, 2.713, 6.551 Å; angles 90.00, 91.02, 90.00 degrees
Element x y z (fractional)
1 Ni 0.000 0.000 0.000
2 Ni 0.339 0.000 0.669
3 Pd 0.167 0.500 0.333
4 Pd 0.840 0.500 0.674
5 Rh 0.492 0.500 0.993
6 Rh 0.665 0.000 0.326

Output
The space-group type is Pm.

=====

Entry C
NiPdRh | PBE | optimized geometry

Cell lengths 2.709, 2.709, 11.216 Å; angles 90.00, 90.00, 90.00 degrees
Element x y z (fractional)
1 Ni 0.250 0.250 0.073
2 Ni 0.750 0.750 0.927
3 Pd 0.250 0.250 0.407
4 Pd 0.750 0.750 0.593
5 Rh 0.250 0.250 0.773
6 Rh 0.750 0.750 0.227

Output
The space-group type is P4/nmm.

=====

Short version: entry B is the least stable of them.

=====

Entry A
Ni3PdRh | PBE | optimized geometry

Cell lengths 4.514, 4.523, 6.903 Å; angles 72.08, 71.47, 80.52 degrees
Element x y z (fractional)
1 Ni 0.048 0.255 0.149
2 Ni 0.140 0.758 0.448
3 Ni 0.241 0.251 0.755
4 Ni 0.759 0.749 0.245
5 Ni 0.860 0.242 0.552
6 Ni 0.952 0.745 0.851
7 Pd 0.448 0.258 0.355
8 Pd 0.552 0.742 0.645
9 Rh 0.338 0.759 0.053
10 Rh 0.662 0.241 0.947

Output
The space-group type is P-1.

=====

Entry B
Ni3PdRh | PBE | optimized geometry

Cell lengths 4.566, 5.022, 6.194 Å; angles 75.50, 68.44, 89.96 degrees
Element x y z (fractional)
1 Ni 0.000 0.000 0.000
2 Ni 0.022 0.899 0.615
3 Ni 0.234 0.305 0.189
4 Ni 0.432 0.704 0.801
5 Ni 0.598 0.204 0.806
6 Ni 0.830 0.502 0.004
7 Pd 0.190 0.394 0.616
8 Pd 0.402 0.809 0.191
9 Rh 0.641 0.103 0.402
10 Rh 0.803 0.602 0.403

Output
The space-group type is P1.

=====

Short version: entry B is the least stable of them.